DFT (SCAN) results for a crystal of La2SbRh relaxed with PBEsol.

Geometry as POSCAR:
```
La2SbRh
1.0
3.926 0.000 0.000
0.000 4.588 0.000
0.000 0.000 11.097
La Sb Rh
4 2 2
Direct
0.000 0.000 0.000
0.000 0.500 0.209
0.500 0.000 0.709
0.500 0.500 0.500
0.000 0.000 0.419
0.500 0.500 0.919
0.000 0.500 0.738
0.500 0.000 0.238
```

Values from the calculation:
final energy: -160.9 eV/f.u.
DOS at the Fermi energy: 0.28 states/eV per atom
mass density: 8.35 g/cm3
magnetic moment: 0.0 μB per cell
raw formation energy: -905 meV per atom